Material: Sm12Ni3N5
Method: DFT, PBE-GGA
State: optimized geometry

Output
Formation energy (no corrections): -13.3 eV per formula unit
Total moment: 0.00 μB per formula unit

abc: 13.415 13.415 13.415
angles: 109.47 109.47 109.47
Fractional coordinates of all 80 atoms:
1 Sm 0.524 0.205 0.119
2 Sm 0.586 0.705 0.682
3 Sm 0.619 0.024 0.205
4 Sm 0.619 0.595 0.914
5 Sm 0.095 0.914 0.119
6 Sm 0.381 0.405 0.086
7 Sm 0.976 0.381 0.295
8 Sm 0.024 0.619 0.705
9 Sm 0.905 0.086 0.881
10 Sm 0.318 0.795 0.414
11 Sm 0.914 0.818 0.795
12 Sm 0.095 0.182 0.476
13 Sm 0.595 0.619 0.414
14 Sm 0.705 0.119 0.024
15 Sm 0.182 0.086 0.705
16 Sm 0.705 0.586 0.182
17 Sm 0.682 0.205 0.586
18 Sm 0.905 0.818 0.524
19 Sm 0.524 0.318 0.905
20 Sm 0.086 0.182 0.205
21 Sm 0.119 0.705 0.524
22 Sm 0.205 0.682 0.086
23 Sm 0.414 0.295 0.318
24 Sm 0.086 0.905 0.381
25 Sm 0.914 0.095 0.619
26 Sm 0.976 0.595 0.182
27 Sm 0.881 0.295 0.476
28 Sm 0.119 0.414 0.095
29 Sm 0.295 0.881 0.976
30 Sm 0.476 0.682 0.095
31 Sm 0.795 0.476 0.381
32 Sm 0.024 0.405 0.818
33 Sm 0.295 0.414 0.818
34 Sm 0.586 0.881 0.405
35 Sm 0.476 0.795 0.881
36 Sm 0.381 0.976 0.795
37 Sm 0.818 0.905 0.024
38 Sm 0.595 0.976 0.682
39 Sm 0.818 0.914 0.295
40 Sm 0.682 0.476 0.595
41 Sm 0.405 0.024 0.318
42 Sm 0.881 0.586 0.905
43 Sm 0.405 0.381 0.586
44 Sm 0.182 0.095 0.976
45 Sm 0.318 0.524 0.405
46 Sm 0.795 0.318 0.914
47 Sm 0.205 0.524 0.619
48 Sm 0.414 0.119 0.595
49 Ni 0.250 0.625 0.875
50 Ni 0.125 0.250 0.875
51 Ni 0.875 0.125 0.250
52 Ni 0.375 0.750 0.625
53 Ni 0.125 0.875 0.750
54 Ni 0.625 0.375 0.750
55 Ni 0.375 0.625 0.250
56 Ni 0.750 0.375 0.125
57 Ni 0.625 0.250 0.375
58 Ni 0.250 0.125 0.375
59 Ni 0.750 0.875 0.625
60 Ni 0.875 0.750 0.125
61 N 0.125 0.750 0.375
62 N 0.875 0.625 0.750
63 N 0.500 0.500 0.500
64 N 0.625 0.750 0.875
65 N 0.625 0.875 0.250
66 N 0.000 0.000 0.500
67 N 0.250 0.375 0.625
68 N 0.500 0.000 0.000
69 N 0.375 0.125 0.750
70 N 0.875 0.250 0.625
71 N 0.750 0.625 0.375
72 N 0.125 0.375 0.250
73 N 0.250 0.875 0.125
74 N 0.000 0.500 0.500
75 N 0.500 0.000 0.500
76 N 0.750 0.125 0.875
77 N 0.500 0.500 0.000
78 N 0.000 0.500 0.000
79 N 0.000 0.000 0.000
80 N 0.375 0.250 0.125



Material: Sm4Ni2N
Method: DFT, PBE-GGA
State: optimized geometry

Output
Formation energy (no corrections): -3.2 eV per formula unit
Total moment: 0.00 μB per formula unit

abc: 4.842 4.842 7.631
angles: 108.50 108.50 90.00
Fractional coordinates of all 7 atoms:
1 Sm 0.815 0.815 0.631
2 Sm 0.185 0.185 0.369
3 Sm 0.500 0.000 0.000
4 Sm 0.000 0.500 0.000
5 Ni 0.380 0.380 0.760
6 Ni 0.620 0.620 0.240
7 N 0.000 0.000 0.000